The following is a PBE calculation of crystalline CaTe4As at its relaxed geometry, from Alexandria.

Cell lengths 8.9481, 8.9481, 8.9481 Å; angles 90.00, 90.00, 90.00 degrees
Space group F-43m (No. 216)
Inequivalent atoms, fractional coordinates:
Ca: 0.0000 0.0000 0.0000 (multiplicity 4)
Te: 0.1245 0.1245 0.6245 (multiplicity 16)
As: 0.2500 0.2500 0.2500 (multiplicity 4)

Properties
* uncorrected formation energy: 0.8 eV/f.u.


The following is a PBE calculation of crystalline Co2HgW at its relaxed geometry, from Alexandria.

Cell lengths 6.7812, 6.7812, 5.5497 Å; angles 90.00, 90.00, 90.00 degrees
Space group I-42d (No. 122)
Inequivalent atoms, fractional coordinates:
Co: 0.2082 0.2500 0.1250 (multiplicity 8)
Hg: 0.0000 0.0000 0.5000 (multiplicity 4)
W: 0.0000 0.0000 0.0000 (multiplicity 4)

Properties
* electronic total energy: -6.0641 eV per atom


no.,mass density (g/cm³),calculated volume (Å³ per cell)
1,5.8,716.5
2,13.1,255.2